Entry 1:
{
  "formula": "Mn2CdNi",
  "functional": "PBE",
  "state": "relaxed",
  "volume_a3_per_cell": 60,
  "e_tot_ev_per_cell": -23.92,
  "lattice": [[4.650, -0.011, -0.009], [-1.249, 4.479, -0.009], [0.006, 0.008, 2.880]],
  "species": ["Mn", "Cd", "Mn", "Ni"],
  "frac_coords": [[0.500, 0.500, 0.000], [0.000, 0.500, 0.500], [0.000, 0.000, 0.000], [0.500, 0.000, 0.500]]
}



Entry 2:
{
  "formula": "Mn2CdNi",
  "functional": "PBE",
  "state": "relaxed",
  "volume_a3_per_cell": 61,
  "e_tot_ev_per_cell": -24.48,
  "lattice": [[2.972, 0.000, 0.000], [0.000, 2.972, 0.000], [0.000, 0.000, 6.879]],
  "species": ["Cd", "Mn", "Mn", "Ni"],
  "frac_coords": [[0.500, 0.500, 0.750], [0.000, 0.000, 0.041], [0.000, 0.000, 0.459], [0.500, 0.500, 0.250]]
}



Entry 3:
{
  "formula": "MnCdNi2",
  "functional": "PBE",
  "state": "relaxed",
  "volume_a3_per_cell": 56,
  "e_tot_ev_per_cell": -20.90,
  "lattice": [[-2.335, -2.251, -2.809], [1.550, -0.807, -3.919], [1.178, -3.987, -1.062]],
  "species": ["Cd", "Mn", "Ni", "Ni"],
  "frac_coords": [[0.500, 0.500, 0.500], [0.750, 0.750, 0.750], [0.250, 0.250, 0.250], [0.000, 0.000, 0.000]]
}



Entry 4:
{
  "formula": "MnCdNi2",
  "functional": "PBE",
  "state": "relaxed",
  "volume_a3_per_cell": 55,
  "e_tot_ev_per_cell": -21.65,
  "lattice": [[2.983, 0.000, 0.000], [0.000, 2.983, 0.000], [0.000, 0.000, 6.196]],
  "species": ["Mn", "Cd", "Ni", "Ni"],
  "frac_coords": [[0.500, 0.500, 0.750], [0.500, 0.500, 0.250], [0.000, 0.000, 0.967], [0.000, 0.000, 0.533]]
}



Number 4 is which compound?
MnCdNi2



Number 1 is which compound?
Mn2CdNi